Record 1
# Cr2FeW | Alexandria via LeMat-Bulk | PBE-GGA | relaxed
data_Cr2FeW
_space_group_name_H-M_alt 'P 1'
_space_group_IT_number 1
_cell_length_a 8.767
_cell_length_b 8.767
_cell_length_c 8.767
_cell_angle_alpha 17.29
_cell_angle_beta 17.29
_cell_angle_gamma 17.29
loop_
_space_group_symop_operation_xyz
'x,y,z'
loop_
_atom_site_label
_atom_site_type_symbol
_atom_site_fract_x
_atom_site_fract_y
_atom_site_fract_z
Cr1 Cr 0.995 0.995 0.995
Cr2 Cr 0.247 0.247 0.247
W1 W 0.752 0.752 0.752
Fe1 Fe 0.506 0.506 0.506
# DFT total energy (eV/atom): -9.7546
# E_form (eV/atom): 0.411

=====

Record 2
# Cr2Fe2W | Alexandria via LeMat-Bulk | PBE-GGA | relaxed
data_Cr2Fe2W
_space_group_name_H-M_alt 'P 1'
_space_group_IT_number 1
_cell_length_a 5.507
_cell_length_b 5.507
_cell_length_c 5.507
_cell_angle_alpha 141.84
_cell_angle_beta 141.84
_cell_angle_gamma 55.06
loop_
_space_group_symop_operation_xyz
'x,y,z'
loop_
_atom_site_label
_atom_site_type_symbol
_atom_site_fract_x
_atom_site_fract_y
_atom_site_fract_z
Cr1 Cr 0.250 0.750 0.500
Cr2 Cr 0.750 0.250 0.500
W1 W 0.000 0.000 0.000
Fe1 Fe 0.393 0.393 0.000
Fe2 Fe 0.607 0.607 0.000
# DFT total energy (eV/atom): -9.4003
# E_form (eV/atom): 0.425

=====

Record 3
# CrFeW | Alexandria via LeMat-Bulk | PBE-GGA | relaxed
data_CrFeW
_space_group_name_H-M_alt 'P 1'
_space_group_IT_number 1
_cell_length_a 3.961
_cell_length_b 3.961
_cell_length_c 3.961
_cell_angle_alpha 60.00
_cell_angle_beta 60.00
_cell_angle_gamma 60.00
loop_
_space_group_symop_operation_xyz
'x,y,z'
loop_
_atom_site_label
_atom_site_type_symbol
_atom_site_fract_x
_atom_site_fract_y
_atom_site_fract_z
Fe1 Fe 0.750 0.750 0.750
W1 W 0.000 0.000 0.000
Cr1 Cr 0.500 0.500 0.500
# DFT total energy (eV/atom): -9.6490
# E_form (eV/atom): 0.697

=====

Record 4
# CrFe2W | Alexandria via LeMat-Bulk | PBE-GGA | relaxed
data_CrFe2W
_space_group_name_H-M_alt 'P 1'
_space_group_IT_number 1
_cell_length_a 4.480
_cell_length_b 4.480
_cell_length_c 4.480
_cell_angle_alpha 131.73
_cell_angle_beta 131.73
_cell_angle_gamma 70.65
loop_
_space_group_symop_operation_xyz
'x,y,z'
loop_
_atom_site_label
_atom_site_type_symbol
_atom_site_fract_x
_atom_site_fract_y
_atom_site_fract_z
W1 W 0.250 0.750 0.500
Fe1 Fe 0.500 0.500 0.000
Fe2 Fe 0.000 0.000 0.000
Cr1 Cr 0.750 0.250 0.500
# DFT total energy (eV/atom): -9.7218
# E_form (eV/atom): 0.154